Entry 1:
Entry from Alexandria: MgGa2Ag7Sn2 after structural relaxation (PBE).

The structure belongs to space group C2/m (No. 12); the cell edges are 5.899, 5.901 and 14.041 Å and the angles 90.00°, 101.28° and 90.00°. The inequivalent atoms are Mg at (0.000, 0.000, 0.000), Ga at (0.132, 0.500, 0.285), Ag at (0.000, 0.500, 0.000), Ag at (0.181, 0.250, 0.850), Ag at (0.236, 0.500, 0.474) and Sn at (0.150, 0.000, 0.325).

The formation enthalpy at 0 K is 0.00 eV/atom. As for the raw total energy: -71.235 eV per cell.

=====

Entry 2:
Entry from Alexandria: Cs2TmBr6 after structural relaxation (PBE).

The structure belongs to space group P6_3mc (No. 186); the cell edges are 7.9157, 7.9157 and 13.0220 Å and the angles 90.00°, 90.00° and 120.00°. The inequivalent atoms are Cs at (0.0000, 0.0000, 0.0000), Cs at (0.3333, 0.6667, 0.2568), Tm at (0.3333, 0.6667, 0.6330), Br at (0.0072, 0.5036, 0.5089) and Br at (0.1661, 0.3321, 0.7510).

The calculation puts the uncorrected formation energy at -14.36 eV per formula unit. As for the raw total energy: -61.151 eV per cell.

=====

Entry 3:
Entry from Alexandria: Pm3Mg2Ag after structural relaxation (PBE).

The structure belongs to space group P4/mmm (No. 123); the cell edges are 3.830, 3.830 and 11.335 Å and the angles 90.00°, 90.00° and 90.00°. The inequivalent atoms are Pm at (0.000, 0.000, 0.000), Pm at (0.000, 0.000, 0.340), Mg at (0.500, 0.500, 0.167) and Ag at (0.500, 0.500, 0.500).

The formation enthalpy at 0 K is -0.16 eV/atom. As for the raw total energy: -21.251 eV per cell.

=====

Entry 4:
Entry from Alexandria: Ca2Be after structural relaxation (PBE).

The structure belongs to space group C2/m (No. 12); the cell edges are 13.179, 3.900 and 8.765 Å and the angles 90.00°, 127.77° and 90.00°. The inequivalent atoms are Ca at (0.082, 0.000, 0.374), Ca at (0.182, 0.500, 0.090) and Be at (0.095, 0.500, 0.645).

The formation enthalpy at 0 K is 0.23 eV/atom. As for the raw total energy: -28.204 eV per cell.

=====

Entry 5:
Entry from Alexandria: Re2TcBr after structural relaxation (PBE).

The structure belongs to space group Cmmm (No. 65); the cell edges are 2.848, 4.735 and 10.053 Å and the angles 90.00°, 90.00° and 90.00°. The inequivalent atoms are Re at (0.000, 0.000, 0.221), Tc at (0.000, 0.500, 0.000) and Br at (0.000, 0.500, 0.500).

The calculation puts the uncorrected formation energy at 3.63 eV per formula unit. As for the raw total energy: -66.601 eV per cell.

=====

Entry 6:
Entry from Alexandria: MnZn2Cr after structural relaxation (PBE).

The structure belongs to space group P4mm (No. 99); the cell edges are 2.920, 2.920 and 6.125 Å and the angles 90.00°, 90.00° and 90.00°. The inequivalent atoms are Mn at (0.000, 0.000, 0.000), Zn at (0.000, 0.000, 0.542), Zn at (0.500, 0.500, 0.270) and Cr at (0.500, 0.500, 0.816).

The formation enthalpy at 0 K is 0.06 eV/atom. As for the raw total energy: -21.089 eV per cell.